Entry 1:
Below is an optimized crystal structure of NaLiAg2H, with properties calculated at the PBE level.

Unit cell a=4.265 b=4.265 c=4.295 alpha=90.00 beta=90.00 gamma=90.00
Sites, in units of the cell vectors:
Ag1 0.000 0.500 0.000
Na1 0.500 0.500 0.500
Ag2 0.500 0.000 0.000
Li1 0.000 0.000 0.500
H1 0.000 0.000 0.000

Values from the calculation:
Symmetry: No. 123

***

Entry 2:
Below is an optimized crystal structure of Na2LiAgH, with properties calculated at the PBE level.

Unit cell a=5.095 b=5.095 c=3.672 alpha=90.00 beta=90.00 gamma=90.00
Sites, in units of the cell vectors:
Na1 0.000 0.500 0.000
Ag1 0.500 0.500 0.500
H1 0.000 0.000 0.000
Na2 0.500 0.000 0.000
Li1 0.000 0.000 0.500

Values from the calculation:
Symmetry: No. 123

***

What are the final energy values for these records? In order: -2.397, -2.197 eV/atom.